Entry 1:
Below is TbTlHg6 after structural relaxation, with properties calculated at the PBE-GGA level.

Cell: 4.7001 4.7001 9.2957 Å, 90.00 90.00 90.00°
Element x y z (fractional)
Hg  0.0000  0.5000  0.7412
Hg  0.5000  0.5000  0.0000
Hg  0.5000  0.0000  0.2588
Hg  0.0000  0.5000  0.2588
Hg  0.5000  0.5000  0.5000
Hg  0.5000  0.0000  0.7412
Tb  0.0000  0.0000  0.5000
Tl  0.0000  0.0000  0.0000



Entry 2:
Below is Tb5Tl2Hg2 after structural relaxation, with properties calculated at the PBE-GGA level.

Cell: 7.3238 8.6108 9.2754 Å, 117.66 90.00 90.00°
Element x y z (fractional)
Tl  0.5000  0.2899  0.5798
Tl  0.5000  0.7101  0.4202
Tl  0.0000  0.2101  0.4202
Tl  0.0000  0.7899  0.5798
Tb  0.5000  0.5000  0.0000
Tb  0.6582  0.0460  0.7205
Tb  0.1582  0.1745  0.7205
Tb  0.3418  0.6745  0.7205
Tb  0.8418  0.5460  0.7205
Tb  0.1582  0.4540  0.2795
Tb  0.8418  0.8255  0.2795
Tb  0.3418  0.9540  0.2795
Tb  0.6582  0.3255  0.2795
Tb  0.0000  0.0000  0.0000
Hg  0.6199  0.8574  0.0000
Hg  0.3801  0.1426  0.0000
Hg  0.1199  0.6426  0.0000
Hg  0.8801  0.3574  0.0000



Entry 3:
Below is TbTlHg2 after structural relaxation, with properties calculated at the PBE-GGA level.

Cell: 3.7918 3.7918 9.3993 Å, 78.36 78.36 60.00°
Element x y z (fractional)
Hg  0.2521  0.2521  0.2437
Hg  0.0816  0.0816  0.7551
Tb  0.6668  0.6668  0.9996
Tl  0.4995  0.4995  0.5016



The evaluated N(E_F) for the records listed, in turn: 2.934 13.059 1.798 states/eV/cell.
The evaluated formation enthalpy at 0 K for the records listed, in turn: -1.28 -3.12 -0.70 eV per formula unit.
The evaluated DFT total energy for the records listed, in turn: -1.261 -3.511 -2.075 eV/atom.